The following is a GGA-PBE calculation of crystalline LuHf2Cu4Ge4 at its relaxed geometry, from OQMD.

Cell lengths 7.7041, 7.7041, 7.7041 Å; angles 149.95, 128.75, 60.56 degrees
With the nearest neighbours (Å) after each atom.
Atoms (fractional coordinates):
1 Lu 0.0000 0.0000 0.0000  6 Ge 2.85-2.92
2 Hf 0.3768 0.8768 0.5000  6 Ge 2.89, 6 Cu 2.93-3.01
3 Hf 0.6232 0.1232 0.5000  6 Ge 2.89, 6 Cu 2.93-3.01
4 Cu 0.0212 0.3275 0.6937  4 Ge 2.41-2.50, 1 Cu 2.58
5 Cu 0.3662 0.6725 0.6937  4 Ge 2.41-2.50, 1 Cu 2.58
6 Cu 0.6338 0.3275 0.3063  4 Ge 2.41-2.50, 1 Cu 2.58
7 Cu 0.9788 0.6725 0.3063  4 Ge 2.41-2.50, 1 Cu 2.58
8 Ge 0.2194 0.2194 0.0000  6 Cu 2.46-2.50
9 Ge 0.3057 0.5000 0.8057  2 Cu 2.41, 1 Ge 2.59
10 Ge 0.6943 0.5000 0.1943  2 Cu 2.41, 1 Ge 2.59
11 Ge 0.7806 0.7806 0.0000  6 Cu 2.46-2.50

Computed properties:
Crystal system ... orthorhombic
E ... -0.4194 Ry/atom
Calculated density ... 10.09 g cm⁻³
Space group ... No. 71